(1)
DFT (PBE) results for crystalline BaAg3S3 at its relaxed geometry.

The structure in POSCAR format:
```
BaAg3S3
1.0
3.695 2.133 7.511
-3.695 2.133 7.511
0.000 -4.267 7.511
Ba Ag S
2 6 6
Direct
0.166 0.166 0.166
0.834 0.834 0.834
0.054 0.705 0.378
0.295 0.622 0.946
0.378 0.054 0.705
0.622 0.946 0.295
0.705 0.378 0.054
0.946 0.295 0.622
0.070 0.411 0.749
0.251 0.930 0.589
0.411 0.749 0.070
0.589 0.251 0.930
0.749 0.070 0.411
0.930 0.589 0.251
```

Computed properties:
Symmetry: No. 148
Energy above the most stable polymorph in this dataset: 0.026 eV/atom
D(E_F): 6.036 states/eV/f.u.
E: -3.814 eV per atom

(2)
DFT (PBE) results for crystalline LaCdTe2 at its relaxed geometry.

The structure in POSCAR format:
```
LaCdTe2
1.0
4.081 0.000 0.000
0.000 4.030 0.000
-1.416 0.000 7.536
La Cd Te
1 1 2
Direct
0.000 0.000 0.000
0.000 0.000 0.500
0.401 0.500 0.760
0.599 0.500 0.240
```

Computed properties:
Symmetry: No. 10
D(E_F): 1.954 states/eV/f.u.
E: -3.923 eV per atom